DFT (PBE) results for an optimized crystal structure of La3Be4.

The energy of formation from the pure elements comes out at 347 meV per atom. As for the polymorph energy (0 for the lowest one): 0 meV/atom. Its space group is I4/mmm, No. 139.

Cell and atoms, written as CIF:
```
data_La3Be4
_space_group_name_H-M_alt 'P 1'
_space_group_IT_number 1
_cell_length_a 14.558
_cell_length_b 14.558
_cell_length_c 14.558
_cell_angle_alpha 168.01
_cell_angle_beta 168.01
_cell_angle_gamma 16.98
loop_
_space_group_symop_operation_xyz
'x,y,z'
loop_
_atom_site_label
_atom_site_fract_x
_atom_site_fract_y
_atom_site_fract_z
La1 0.000 0.000 0.000
La2 0.691 0.691 0.000
La3 0.309 0.309 0.000
Be1 0.889 0.889 0.000
Be2 0.111 0.111 0.000
Be3 0.582 0.582 0.000
Be4 0.418 0.418 0.000
```